No. 1
4
Lattice="3.5330 0.0000 0.0000 0.0000 5.0590 0.0000 -0.0217 0.0000 6.8044" Properties=species:S:1:pos:R:3 comment="LaCdPb2 PBE-GGA relaxed" dft_energy_ev_per_atom=-3.566 dos_at_fermi_per_ev_atom=0.810 sg="P2/m, No. 10" total_magnetization_mub_per_fu=0.000 pbc="T T T"
La 0.0000 0.0000 0.0000
Cd 1.7556 0.0000 3.4022
Pb 1.7310 2.5295 5.1553
Pb 1.7802 2.5295 1.6491


No. 2
12
Lattice="-2.9870 3.5527 8.9935 2.9870 -3.5527 8.9935 2.9870 3.5527 -8.9935" Properties=species:S:1:pos:R:3 comment="La6CdPb5 PBE-GGA relaxed" dft_energy_ev_per_atom=-4.623 dos_at_fermi_per_ev_atom=0.824 sg="Immm, No. 71" total_magnetization_mub_per_fu=1.212 pbc="T T T"
La 2.9870 1.7250 -3.0510
La 0.0000 1.6683 0.0000
La 2.9870 1.7250 3.0510
La 0.0000 1.8276 5.9425
La 0.0000 5.4370 0.0000
La 0.0000 1.8276 12.0445
Cd 0.0000 0.0000 8.9935
Pb 2.9870 0.0000 0.0000
Pb 0.0000 0.0000 3.0452
Pb 2.9870 0.0000 6.1402
Pb 0.0000 3.5527 2.8533
Pb 0.0000 0.0000 14.9418


No. 3
3
Lattice="0.0000 3.6333 3.6333 3.6333 0.0000 3.6333 3.6333 3.6333 0.0000" Properties=species:S:1:pos:R:3 comment="LaCdPb PBE-GGA relaxed" dft_energy_ev_per_atom=-3.479 dos_at_fermi_per_ev_atom=0.749 sg="F-43m, No. 216" total_magnetization_mub_per_fu=0.000 pbc="T T T"
La 0.0000 0.0000 0.0000
Cd 1.8166 1.8166 1.8166
Pb 3.6333 3.6333 3.6333


No. 4
5
Lattice="5.5526 0.0000 0.0000 0.0000 5.5526 0.0000 0.0000 0.0000 5.5526" Properties=species:S:1:pos:R:3 comment="LaCd3Pb PBE-GGA relaxed" relative_energy_mev_per_atom=0 dft_energy_ev_per_atom=-1.959 dos_at_fermi_per_ev_atom=0.793 sg="Pm-3m, No. 221" total_magnetization_mub_per_fu=0.000 pbc="T T T"
La 0.0000 0.0000 0.0000
Cd 0.0000 2.7763 2.7763
Cd 2.7763 0.0000 2.7763
Cd 2.7763 2.7763 0.0000
Pb 2.7763 2.7763 2.7763